# 1
PBE-GGA RbPm2Er, relaxed; DOS(E_F) = 4.1 states/eV per cell; calculated volume = 39.1 Å³ per atom; energy of formation = 0.26 eV/atom; total magnetic moment = 0.00 μB per atom; crystal system = trigonal; energy = -14.0 eV per formula unit
1.0
3.667 0.000 0.000
1.833 3.176 0.000
1.833 1.059 13.428
Er Pm Rb
1 2 1
direct
0.500 0.500 0.500
0.903 0.903 0.290
0.097 0.097 0.710
0.000 0.000 0.000


# 2
PBE-GGA Fe2SiS, relaxed; DOS(E_F) = 6.6 states/eV per cell; energy relative to the lowest polymorph listed for this composition = 78.3 meV/atom; calculated volume = 15.7 Å³ per atom; total magnetic moment = 0.00 μB per atom; crystal system = tetragonal; energy = -25.8 eV per formula unit
1.0
5.127 0.000 0.000
0.000 5.127 0.000
2.564 2.564 4.786
Si Fe S
2 4 2
direct
0.500 0.500 0.000
0.250 0.750 0.500
0.375 0.353 0.750
0.875 0.897 0.750
0.647 0.125 0.250
0.103 0.625 0.250
0.750 0.250 0.500
0.000 0.000 0.000